Crystalline PmSc2O4 at its relaxed geometry, computed with GGA-PBE.

The structure in POSCAR format:
```
PmSc2O4
1.0
0.000 4.594 4.594
4.594 0.000 4.594
4.594 4.594 0.000
Pm Sc O
2 4 8
direct
0.125 0.125 0.125
0.875 0.875 0.875
0.000 0.500 0.500
0.500 0.000 0.500
0.500 0.500 0.000
0.500 0.500 0.500
0.265 0.265 0.265
0.265 0.265 0.706
0.265 0.706 0.265
0.294 0.735 0.735
0.706 0.265 0.265
0.735 0.294 0.735
0.735 0.735 0.294
0.735 0.735 0.735
```

- VASP energy (hartree per atom) = -0.3143
- crystal system = cubic